The following is a PBE calculation of a relaxed LaTeBr2 crystal, from the Alexandria database.

Raw formation energy (eV per atom): -0.9800
Density of states at the Fermi level (states/eV/atom): 0.832
Energy relative to the lowest polymorph listed for this composition (eV per atom): 0.403

Cell lengths 3.8399, 3.8399, 35.9037 Å; angles 90.00, 90.00, 120.00 degrees
Space group R-3m (No. 166, hexagonal axes)
Unique sites:
La: 0.0000 0.0000 0.0000 (multiplicity 3)
Te: 0.0000 0.0000 0.5000 (multiplicity 3)
Br: 0.0000 0.0000 0.3895 (multiplicity 6)